[1]
First-principles (PBE) data for crystalline Ho3ThSc2Se6 at its relaxed geometry, as listed in Alexandria.

Unit cell a=4.004 b=8.130 c=8.965 alpha=101.71 beta=102.90 gamma=90.00
Fractional coordinates of all 12 atoms:
Se (0.675, 0.098, 0.349)
Ho (0.500, 0.500, 0.000)
Ho (0.841, 0.167, 0.683)
Se (0.994, 0.734, 0.987)
Se (0.325, 0.902, 0.651)
Sc (0.164, 0.329, 0.327)
Se (0.006, 0.266, 0.013)
Th (0.500, 0.000, 0.000)
Se (0.329, 0.422, 0.658)
Ho (0.159, 0.833, 0.317)
Sc (0.836, 0.671, 0.673)
Se (0.671, 0.578, 0.342)

- energy relative to the elements, uncorrected (eV/atom) = -1.625
- space group = No. 12



[2]
First-principles (PBE) data for crystalline CsPrCoBr6 at its relaxed geometry, as listed in Alexandria.

Unit cell a=7.268 b=7.268 c=8.100 alpha=89.87 beta=90.13 gamma=59.89
Last column: magnetic moment on the atom in μB.
Fractional coordinates of all 9 atoms:
Br (0.031, 0.358, 0.306)  0.06
Br (0.610, 0.031, 0.305)  0.06
Co (0.333, 0.333, 0.500)  2.47
Cs (0.000, 0.000, 0.000)  0.00
Br (0.366, 0.603, 0.301)  0.06
Br (0.358, 0.032, 0.694)  0.06
Br (0.031, 0.610, 0.695)  0.06
Pr (0.666, 0.666, 0.500)  0.00
Br (0.603, 0.366, 0.699)  0.06

- energy relative to the elements, uncorrected (eV/atom) = -1.312
- space group = No. 5



[3]
First-principles (PBE) data for crystalline Ca3Ir5 at its relaxed geometry, as listed in Alexandria.

Unit cell a=5.825 b=5.825 c=4.173 alpha=90.00 beta=90.00 gamma=92.28
Fractional coordinates of all 8 atoms:
Ir (0.220, 0.220, 0.500)
Ir (0.000, 0.500, 0.000)
Ca (0.746, 0.254, 0.500)
Ca (0.500, 0.500, 0.000)
Ir (0.500, 0.000, 0.000)
Ir (0.000, 0.000, 0.000)
Ca (0.254, 0.746, 0.500)
Ir (0.780, 0.780, 0.500)

- ΔE_f (meV/atom) = 37
- space group = No. 65



[4]
First-principles (PBE) data for crystalline Tm2CoSn at its relaxed geometry, as listed in Alexandria.

Unit cell a=5.000 b=5.000 c=5.003 alpha=60.02 beta=60.02 gamma=60.00
Last column: magnetic moment on the atom in μB.
Fractional coordinates of all 4 atoms:
Tm (0.750, 0.750, 0.750)  -0.20
Co (0.500, 0.500, 0.500)  1.26
Sn (0.000, 0.000, 0.000)  0.07
Tm (0.250, 0.250, 0.250)  -0.20

- ΔE_f (meV/atom) = -325
- offset from the most stable computed form (kcal/mol of atoms) = 2.34
- space group = No. 225



[5]
First-principles (PBE) data for crystalline Ac2Cu2Ag at its relaxed geometry, as listed in Alexandria.

Unit cell a=4.502 b=6.124 c=10.616 alpha=85.78 beta=77.76 gamma=68.43
Fractional coordinates of all 10 atoms:
Ac (0.696, 0.715, 0.894)
Cu (0.989, 0.129, 0.893)
Ag (0.237, 0.854, 0.673)
Cu (0.123, 0.330, 0.424)
Cu (0.011, 0.871, 0.107)
Ag (0.763, 0.146, 0.327)
Ac (0.457, 0.732, 0.354)
Cu (0.877, 0.670, 0.576)
Ac (0.543, 0.268, 0.646)
Ac (0.304, 0.285, 0.106)

- ΔE_f (meV/atom) = -184
- offset from the most stable computed form (kcal/mol of atoms) = 0.81
- space group = No. 12



[6]
First-principles (PBE) data for crystalline CaAuCl at its relaxed geometry, as listed in Alexandria.

Unit cell a=4.915 b=4.915 c=4.915 alpha=60.00 beta=60.00 gamma=60.00
Fractional coordinates of all 3 atoms:
Ca (0.750, 0.750, 0.750)
Cl (0.000, 0.000, 0.000)
Au (0.500, 0.500, 0.500)

- energy relative to the elements, uncorrected (eV/atom) = -1.212
- offset from the most stable computed form (kcal/mol of atoms) = 4.68
- space group = No. 216



[7]
First-principles (PBE) data for crystalline MoHPdRh2 at its relaxed geometry, as listed in Alexandria.

Unit cell a=3.973 b=3.973 c=3.903 alpha=90.00 beta=90.00 gamma=90.00
Last column: magnetic moment on the atom in μB.
Fractional coordinates of all 5 atoms:
Mo (0.500, 0.500, 0.500)  0.92
Rh (0.000, 0.500, 0.000)  0.01
Pd (0.000, 0.000, 0.500)  0.04
H (0.000, 0.000, 0.000)  0.00
Rh (0.500, 0.000, 0.000)  0.01

- offset from the most stable computed form (kcal/mol of atoms) = 0.00
- space group = No. 123



[8]
First-principles (PBE) data for crystalline Mg3CdAu at its relaxed geometry, as listed in Alexandria.

Unit cell a=5.120 b=5.120 c=5.120 alpha=90.00 beta=90.00 gamma=90.00
Fractional coordinates of all 5 atoms:
Cd (0.500, 0.500, 0.500)
Mg (0.500, 0.000, 0.000)
Au (0.000, 0.000, 0.000)
Mg (0.000, 0.500, 0.000)
Mg (0.000, 0.000, 0.500)

- ΔE_f (meV/atom) = -95
- offset from the most stable computed form (kcal/mol of atoms) = 5.19
- space group = No. 221



Number 1: final energy -6.185 eV/atom. Number 2: final energy -3.843 eV/atom. Number 3: final energy -6.252 eV/atom. Number 4: final energy -5.338 eV/atom. Number 5: final energy -4.036 eV/atom. Number 6: final energy -3.588 eV/atom. Number 7: final energy -6.808 eV/atom. Number 8: final energy -1.890 eV/atom.